1.
Density functional theory data (PBE-GGA) for a relaxed structure of CdPAuS2.

N(E_F) = 3.575 states/eV/f.u.
Offset from the most stable computed form = 0.000 eV per atom

a b c (Å): 5.0343 5.0343 4.6090
angles (deg): 90.00 90.00 90.00
Last column: nearest neighbours and their distance in Å.
Space group P4/mmm (No. 123)
Inequivalent atoms, fractional coordinates:
Cd: 0.0000 0.0000 0.0000  8 S 3.41, 4 P 3.56
P: 0.5000 0.5000 0.0000  2 Au 2.30
Au: 0.5000 0.5000 0.5000  2 P 2.30, 4 S 2.52
S: 0.0000 0.5000 0.5000  2 Au 2.52

=====

2.
Density functional theory data (PBE-GGA) for a relaxed structure of Tb3Pr5Er4.

ΔH_f (0 K) = 0.248 eV per atom
N(E_F) = 17.677 states/eV/f.u.

a b c (Å): 12.6128 5.8146 11.0503
angles (deg): 90.00 95.73 90.00
Last column: nearest neighbours and their distance in Å.
Space group C2/m (No. 12)
Inequivalent atoms, fractional coordinates:
Tb: 0.0000 0.0000 0.0000  2 Pr 2.91
Tb: 0.2453 0.0000 0.8910  2 Pr 3.32-3.62, 1 Tb 3.43
Pr: 0.0000 0.5000 0.0000  2 Tb 2.91, 2 Er 2.96
Pr: 0.1023 0.0000 0.5902  1 Pr 3.10, 5 Er 3.28-3.47
Pr: 0.1487 0.0000 0.2696  3 Tb 3.36-3.72, 3 Er 3.52-3.55, 2 Pr 3.65-3.66
Er: 0.0752 0.5000 0.7550  1 Pr 2.96
Er: 0.1443 0.5000 0.4527  5 Pr 3.28-3.55, 2 Er 3.41-3.54

=====

3.
Density functional theory data (PBE-GGA) for a relaxed structure of BH2Pd6.

N(E_F) = 2.675 states/eV/f.u.
Offset from the most stable computed form = 0.044 eV per atom

a b c (Å): 5.0217 5.5419 9.2606
angles (deg): 90.00 121.99 90.00
Last column: nearest neighbours and their distance in Å.
Space group P2_1/c (No. 14)
Inequivalent atoms, fractional coordinates:
B: 0.0000 0.0000 0.0000  6 Pd 2.06-2.13
H: 0.2635 0.0270 0.7497  3 Pd 1.78-1.83
Pd: 0.0873 0.5560 0.7487  1 H 1.78
Pd: 0.2444 0.1738 0.5704  1 H 1.81
Pd: 0.4085 0.6858 0.5721  1 H 1.83

=====

4.
Density functional theory data (PBE-GGA) for a relaxed structure of Ce2DyTm.

ΔH_f (0 K) = 0.088 eV per atom
N(E_F) = 10.221 states/eV/f.u.
Offset from the most stable computed form = 0.003 eV per atom

a b c (Å): 3.4694 3.4694 34.3826
angles (deg): 90.00 90.00 120.00
Last column: nearest neighbours and their distance in Å.
Space group R3m (No. 160, hexagonal axes)
Inequivalent atoms, fractional coordinates:
Ce: 0.0000 0.0000 0.0000  6 Ce 3.47, 3 Tm 3.49, 3 Dy 3.57
Ce: 0.0000 0.0000 0.1647  3 Tm 3.44, 6 Ce 3.47, 3 Dy 3.48
Dy: 0.0000 0.0000 0.5807  6 Dy 3.47, 6 Ce 3.48-3.57
Tm: 0.0000 0.0000 0.7499  6 Ce 3.44-3.49, 6 Tm 3.47

=====

5.
Density functional theory data (PBE-GGA) for a relaxed structure of Cs3LaSb2O9.

N(E_F) = 9.457 states/eV/f.u.
DFT total energy = -5.60 eV per atom

a b c (Å): 6.1666 6.1666 7.6155
angles (deg): 90.00 90.00 120.00
Last column: nearest neighbours and their distance in Å.
Space group P-3m1 (No. 164)
Inequivalent atoms, fractional coordinates:
Cs: 0.0000 0.0000 0.0000  12 O 3.03-3.08
Cs: 0.3333 0.6667 0.6632  12 O 3.10-3.17
La: 0.0000 0.0000 0.5000  6 O 2.43
Sb: 0.3333 0.6667 0.1554  6 O 1.99-2.14
O: 0.0000 0.5000 0.0000  2 Sb 2.14
O: 0.1809 0.3618 0.3060  1 Sb 1.99

=====

6.
Density functional theory data (PBE-GGA) for a relaxed structure of Ac2Pa2Te7.

N(E_F) = 6.748 states/eV/f.u.
Offset from the most stable computed form = 0.000 eV per atom

a b c (Å): 4.3999 16.6413 10.0543
angles (deg): 90.00 90.00 90.00
Last column: nearest neighbours and their distance in Å.
Space group Imm2 (No. 44)
Inequivalent atoms, fractional coordinates:
Ac: 0.0000 0.0000 0.0000  7 Te 3.15-3.42
Ac: 0.0000 0.5000 0.0519  8 Te 3.25-3.43
Pa: 0.0000 0.2406 0.2313  7 Te 3.11-3.27
Te: 0.0000 0.0000 0.3138  3 Ac 3.15-3.25
Te: 0.0000 0.1193 0.7232  2 Pa 3.21, 3 Ac 3.42-3.43
Te: 0.0000 0.3144 0.9304  3 Pa 3.11-3.27, 1 Ac 3.32
Te: 0.0000 0.3485 0.5491  2 Pa 3.22, 2 Ac 3.38

=====

7.
Density functional theory data (PBE-GGA) for a relaxed structure of NbCrRh.

ΔH_f (0 K) = 0.126 eV per atom
N(E_F) = 3.329 states/eV/f.u.

a b c (Å): 4.9593 8.0741 18.0441
angles (deg): 90.00 90.00 90.00
Last column: nearest neighbours and their distance in Å.
Space group Fddd (No. 70, origin choice 2)
Inequivalent atoms, fractional coordinates:
Nb: 0.1250 0.3115 0.1250  4 Cr 2.64-2.69, 2 Nb 2.68, 2 Rh 2.87
Cr: 0.1250 0.1250 0.0012  2 Cr 2.37, 4 Rh 2.54-2.63, 2 Nb 2.64
Rh: 0.1250 0.1250 0.5498  4 Cr 2.54-2.63, 1 Rh 2.71

=====

8.
Density functional theory data (PBE-GGA) for a relaxed structure of KHg3F.

N(E_F) = 6.744 states/eV/f.u.
Offset from the most stable computed form = 0.310 eV per atom

a b c (Å): 6.6498 6.6498 6.6498
angles (deg): 90.00 90.00 90.00
Last column: nearest neighbours and their distance in Å.
Space group Pm-3m (No. 221)
Inequivalent atoms, fractional coordinates:
K: 0.0000 0.0000 0.0000  6 Hg 3.32
Hg: 0.0000 0.0000 0.5000  2 K 3.32
F: 0.5000 0.5000 0.5000  12 Hg 4.70

=====

| no. | V (A^3/atom) |
| --- | --- |
| 1 | 23.362 |
| 2 | 33.598 |
| 3 | 12.143 |
| 4 | 29.868 |
| 5 | 16.720 |
| 6 | 33.463 |
| 7 | 15.053 |
| 8 | 58.810 |